[1]
A plane-wave DFT calculation with SCAN was carried out for a crystal of LiTl2Ag relaxed with PBEsol.

energy of formation	-0.038	eV/atom
calculated total energy	-44.6563	eV per atom
space group	R-3m
relative energy among the computed polymorphs	19	kJ/mol of formula units
DOS at the Fermi energy	0.3769	states/eV/atom

Cell: 3.304 3.304 9.336 Å, 79.81 79.81 60.00°
Fractional coordinates of all 4 atoms:
Ag 0.500 0.500 0.500
Li 0.000 0.000 0.000
Tl 0.251 0.251 0.248
Tl 0.749 0.749 0.752

[2]
A plane-wave DFT calculation with SCAN was carried out for a crystal of Hf2OsClF relaxed with PBEsol.

ΔE_f (raw)	-129	meV per atom
calculated total energy	-41.8776	eV per atom
space group	P4/mmm
DOS at the Fermi energy	0.6860	states/eV/atom

Cell: 4.257 4.257 4.515 Å, 90.00 90.00 90.00°
Fractional coordinates of all 5 atoms:
Hf 0.000 0.500 0.000
Hf 0.500 0.000 0.000
F 0.000 0.000 0.000
Os 0.500 0.500 0.500
Cl 0.000 0.000 0.500

[3]
A plane-wave DFT calculation with SCAN was carried out for a crystal of CuNiRh2 relaxed with PBEsol.

energy of formation	0.064	eV/atom
calculated total energy	-24.6649	eV per atom
space group	P4mm
DOS at the Fermi energy	0.9232	states/eV/atom

Cell: 2.650 2.650 6.983 Å, 90.00 90.00 90.00°
Fractional coordinates of all 4 atoms:
Ni 0.500 0.500 0.743
Rh 0.000 0.000 0.990
Rh 0.500 0.500 0.253
Cu 0.000 0.000 0.513

[4]
A plane-wave DFT calculation with SCAN was carried out for a crystal of DyB4Ru relaxed with PBEsol.

energy of formation	-0.713	eV/atom
calculated total energy	-19.4365	eV per atom
space group	Pbam
DOS at the Fermi energy	0.1141	states/eV/atom

Cell: 3.506 5.923 11.458 Å, 90.00 90.00 90.00°
Fractional coordinates of all 24 atoms:
Dy 0.000 0.128 0.650
Dy 0.000 0.872 0.350
Dy 0.000 0.628 0.850
Dy 0.000 0.372 0.150
B 0.500 0.476 0.692
B 0.500 0.524 0.308
B 0.500 0.976 0.808
B 0.500 0.024 0.192
B 0.500 0.288 0.815
B 0.500 0.712 0.185
B 0.500 0.788 0.685
B 0.500 0.212 0.315
B 0.500 0.364 0.969
B 0.500 0.636 0.031
B 0.500 0.864 0.531
B 0.500 0.136 0.469
B 0.500 0.388 0.547
B 0.500 0.612 0.453
B 0.500 0.888 0.953
B 0.500 0.112 0.047
Ru 0.000 0.139 0.908
Ru 0.000 0.861 0.092
Ru 0.000 0.639 0.592
Ru 0.000 0.361 0.408

[5]
A plane-wave DFT calculation with SCAN was carried out for a crystal of Na2InCuF7 relaxed with PBEsol.

ΔE_f (raw)	-2573	meV per atom
calculated total energy	-10.0092	eV per atom
space group	Pnma

Cell: 7.359 7.479 10.251 Å, 90.00 90.00 90.00°
Fractional coordinates of all 44 atoms:
Na 0.250 0.235 0.764
Na 0.250 0.265 0.264
Na 0.750 0.765 0.236
Na 0.500 0.000 0.500
Na 0.750 0.735 0.736
Na 0.000 0.000 0.500
Na 0.000 0.500 0.000
Na 0.500 0.500 0.000
In 0.250 0.760 0.776
In 0.750 0.240 0.224
In 0.250 0.740 0.276
In 0.750 0.260 0.724
Cu 0.000 0.000 0.000
Cu 0.500 0.000 0.000
Cu 0.000 0.500 0.500
Cu 0.500 0.500 0.500
F 0.994 0.718 0.377
F 0.250 0.522 0.153
F 0.250 0.978 0.653
F 0.494 0.218 0.123
F 0.750 0.999 0.072
F 0.506 0.718 0.377
F 0.050 0.829 0.138
F 0.250 0.499 0.428
F 0.750 0.478 0.847
F 0.250 0.507 0.862
F 0.994 0.782 0.877
F 0.750 0.022 0.347
F 0.750 0.501 0.572
F 0.750 0.007 0.638
F 0.006 0.282 0.623
F 0.550 0.329 0.362
F 0.506 0.782 0.877
F 0.494 0.282 0.623
F 0.750 0.493 0.138
F 0.250 0.001 0.928
F 0.050 0.671 0.638
F 0.550 0.171 0.862
F 0.950 0.171 0.862
F 0.950 0.329 0.362
F 0.250 0.993 0.362
F 0.006 0.218 0.123
F 0.450 0.829 0.138
F 0.450 0.671 0.638

[6]
A plane-wave DFT calculation with SCAN was carried out for a crystal of MnBiP2 relaxed with PBEsol.

energy of formation	0.481	eV/atom
calculated total energy	-28.9272	eV per atom
space group	Fm-3m
DOS at the Fermi energy	0.4711	states/eV/atom

Cell: 4.721 4.721 4.721 Å, 60.00 60.00 60.00°
Fractional coordinates of all 4 atoms:
P 0.250 0.250 0.250
P 0.750 0.750 0.750
Mn 0.000 0.000 0.000
Bi 0.500 0.500 0.500

- What is the formula in the fourth record?
  DyB4Ru

- Which value of calculated total energy does entry 5 give?
  -10.0092 eV per atom

- Which value of calculated total energy does entry 1 give?
  -44.6563 eV per atom